Record 1
VASP calculation (GGA-PBE) on a geometry-optimized Na2CdTe2 structure.

The structure in CIF format:
```
data_Na2CdTe2
_space_group_name_H-M_alt 'P 4/m b m'
_space_group_IT_number 127
_space_group_name_Hall '-P 4 2ab'
_cell_length_a 8.189
_cell_length_b 8.189
_cell_length_c 4.556
_cell_angle_alpha 90.00
_cell_angle_beta 90.00
_cell_angle_gamma 90.00
loop_
_atom_site_label
_atom_site_type_symbol
_atom_site_fract_x
_atom_site_fract_y
_atom_site_fract_z
_atom_site_occupancy
Na1 Na 0.136 0.364 0.000 1
Cd1 Cd 0.000 0.000 0.500 1
Te1 Te 0.177 0.677 0.500 1
```

Computed properties:
Its uncorrected formation energy is -2.80 eV per formula unit. The raw total energy comes out at -25.28 eV per cell. Its energy above the most stable polymorph in this dataset is 0.159 eV per atom.

Record 2
VASP calculation (GGA-PBE) on a geometry-optimized CdIn2Cu structure.

The structure in CIF format:
```
data_CdIn2Cu
_space_group_name_H-M_alt 'I m m 2'
_space_group_IT_number 44
_cell_length_a 3.073
_cell_length_b 4.478
_cell_length_c 12.987
_cell_angle_alpha 90.00
_cell_angle_beta 90.00
_cell_angle_gamma 90.00
loop_
_space_group_symop_operation_xyz
'x,y,z'
'-x,-y,z'
'-x,y,z'
'x,-y,z'
'x+1/2,y+1/2,z+1/2'
'-x+1/2,-y+1/2,z+1/2'
'-x+1/2,y+1/2,z+1/2'
'x+1/2,-y+1/2,z+1/2'
loop_
_atom_site_label
_atom_site_type_symbol
_atom_site_fract_x
_atom_site_fract_y
_atom_site_fract_z
_atom_site_occupancy
Cd1 Cd 0.000 0.000 0.000 1
In1 In 0.000 0.000 0.624 1
In2 In 0.000 0.500 0.821 1
Cu1 Cu 0.000 0.500 0.312 1
```

Computed properties:
The raw total energy comes out at -20.45 eV per cell.

Record 3
VASP calculation (GGA-PBE) on a geometry-optimized Pr4NdSm2 structure.

The structure in CIF format:
```
data_Pr4NdSm2
_space_group_name_H-M_alt 'P 1 21/m 1'
_space_group_IT_number 11
_cell_length_a 6.219
_cell_length_b 6.797
_cell_length_c 12.041
_cell_angle_alpha 90.00
_cell_angle_beta 104.53
_cell_angle_gamma 90.00
loop_
_space_group_symop_operation_xyz
'x,y,z'
'-x,-y,-z'
'-x,y+1/2,-z'
'x,-y+1/2,z'
loop_
_atom_site_label
_atom_site_type_symbol
_atom_site_fract_x
_atom_site_fract_y
_atom_site_fract_z
_atom_site_occupancy
Pr1 Pr 0.007 0.250 0.352 1
Pr2 Pr 0.151 0.250 0.943 1
Pr3 Pr 0.357 0.504 0.215 1
Nd1 Nd 0.148 0.250 0.652 1
Sm1 Sm 0.289 0.750 0.935 1
Sm2 Sm 0.407 0.750 0.503 1
```

Computed properties:
The raw total energy comes out at -65.13 eV per cell. Its energy above the most stable polymorph in this dataset is 0.000 eV per atom.

Record 4
VASP calculation (GGA-PBE) on a geometry-optimized Si2AsIr structure.

The structure in CIF format:
```
data_Si2AsIr
_space_group_name_H-M_alt 'P 4/m m m'
_space_group_IT_number 123
_space_group_name_Hall '-P 4 2'
_cell_length_a 2.920
_cell_length_b 2.920
_cell_length_c 7.105
_cell_angle_alpha 90.00
_cell_angle_beta 90.00
_cell_angle_gamma 90.00
loop_
_atom_site_label
_atom_site_type_symbol
_atom_site_fract_x
_atom_site_fract_y
_atom_site_fract_z
_atom_site_occupancy
Si1 Si 0.000 0.000 0.224 1
As1 As 0.500 0.500 0.500 1
Ir1 Ir 0.500 0.500 0.000 1
```

Computed properties:
Its uncorrected formation energy is 0.25 eV per formula unit. The raw total energy comes out at -24.11 eV per cell.

Record 5
VASP calculation (GGA-PBE) on a geometry-optimized SrTi2Tc structure.

The structure in CIF format:
```
data_SrTi2Tc
_space_group_name_H-M_alt 'F m -3 m'
_space_group_IT_number 225
_space_group_name_Hall '-F 4 2 3'
_cell_length_a 6.758
_cell_length_b 6.758
_cell_length_c 6.758
_cell_angle_alpha 90.00
_cell_angle_beta 90.00
_cell_angle_gamma 90.00
loop_
_atom_site_label
_atom_site_type_symbol
_atom_site_fract_x
_atom_site_fract_y
_atom_site_fract_z
_atom_site_occupancy
Sr1 Sr 0.000 0.000 0.000 1
Ti1 Ti 0.250 0.250 0.250 1
Tc1 Tc 0.000 0.000 0.500 1
```

Computed properties:
The raw total energy comes out at -102.04 eV per cell. Its energy above the most stable polymorph in this dataset is 0.000 eV per atom.

Record 6
VASP calculation (GGA-PBE) on a geometry-optimized Sr2InFe structure.

The structure in CIF format:
```
data_Sr2InFe
_space_group_name_H-M_alt 'P 1 2/m 1'
_space_group_IT_number 10
_cell_length_a 3.760
_cell_length_b 3.689
_cell_length_c 8.761
_cell_angle_alpha 90.00
_cell_angle_beta 90.09
_cell_angle_gamma 90.00
loop_
_space_group_symop_operation_xyz
'x,y,z'
'-x,-y,-z'
'-x,y,-z'
'x,-y,z'
loop_
_atom_site_label
_atom_site_type_symbol
_atom_site_fract_x
_atom_site_fract_y
_atom_site_fract_z
_atom_site_occupancy
Sr1 Sr 0.000 0.000 0.229 1
In1 In 0.500 0.500 0.500 1
Fe1 Fe 0.500 0.500 0.000 1
```

Computed properties:
The raw total energy comes out at -13.62 eV per cell.